# 1
## LaNd5Hg3 (PBE-GGA)

Data for a geometry-optimized LaNd5Hg3 structure.

a b c (Å): 7.1529 9.4040 9.4030
angles (deg): 120.00 90.00 90.00
With the nearest neighbours (Å) after each atom.
Atoms (fractional coordinates):
1 Hg 0.7500 0.0000 0.6627  3 Nd 3.11-3.15
2 La 0.0000 0.0000 0.0000  2 La 3.58, 6 Nd 3.60, 6 Hg 3.64
3 Nd 0.0000 0.3333 0.6666  8 Nd 3.58-3.61, 6 Hg 3.59
4 Nd 0.0000 0.6667 0.3334  8 Nd 3.58-3.61, 6 Hg 3.59
5 Hg 0.7500 0.3373 0.3373  3 Nd 3.11-3.15
6 Nd 0.5000 0.6667 0.3334  8 Nd 3.58-3.61, 6 Hg 3.59
7 Nd 0.2500 0.6681 0.0000  3 Hg 3.11-3.15
8 Hg 0.2500 0.3374 0.0000  3 Nd 3.11-3.15
9 Hg 0.2500 0.6627 0.6627  3 Nd 3.11-3.15
10 La 0.5000 0.0000 0.0000  2 La 3.58, 6 Nd 3.60, 6 Hg 3.64
11 Nd 0.2500 0.3319 0.3319  3 Hg 3.11-3.15
12 Hg 0.2500 0.0000 0.3373  3 Nd 3.11-3.15
13 Hg 0.7500 0.6626 0.0000  3 Nd 3.11-3.15
14 Nd 0.7500 0.3319 0.0000  3 Hg 3.11-3.15
15 Nd 0.2500 0.0000 0.6681  3 Hg 3.11-3.15
16 Nd 0.5000 0.3333 0.6666  8 Nd 3.58-3.61, 6 Hg 3.59
17 Nd 0.7500 0.6681 0.6681  3 Hg 3.11-3.15
18 Nd 0.7500 0.0000 0.3319  3 Hg 3.11-3.15

Theoretical density (g/cm3): 8.86
Calculated formation energy (kJ per mole of atoms): -26.6
Space-group type: P6_3/mcm (193)



# 2
## La6NdHg (PBE-GGA)

Data for a geometry-optimized La6NdHg structure.

a b c (Å): 5.1155 5.1155 10.3719
angles (deg): 90.00 90.00 90.00
With the nearest neighbours (Å) after each atom.
Atoms (fractional coordinates):
1 Hg 0.0000 0.0000 0.5000  12 La 3.60-3.62
2 La 0.5000 0.5000 0.5000  8 La 3.60, 4 Hg 3.62
3 La 0.0000 0.5000 0.2557  2 Hg 3.60, 8 La 3.60-3.68, 2 Nd 3.68
4 La 0.5000 0.0000 0.2557  2 Hg 3.60, 8 La 3.60-3.68, 2 Nd 3.68
5 La 0.5000 0.0000 0.7443  2 Hg 3.60, 8 La 3.60-3.68, 2 Nd 3.68
6 Nd 0.0000 0.0000 0.0000  12 La 3.62-3.68
7 La 0.5000 0.5000 0.0000  4 Nd 3.62, 8 La 3.68
8 La 0.0000 0.5000 0.7443  2 Hg 3.60, 8 La 3.60-3.68, 2 Nd 3.68

Theoretical density (g/cm3): 7.21
Polymorph energy (0 for the lowest one) (meV/atom): 0
Calculated formation energy (kJ per mole of atoms): -8.4
Space-group type: P4/mmm (123)



# 3
## La4NdHg (PBE-GGA)

Data for a geometry-optimized La4NdHg structure.

a b c (Å): 3.7892 3.7892 14.2311
angles (deg): 90.00 90.00 90.00
With the nearest neighbours (Å) after each atom.
Atoms (fractional coordinates):
1 La 0.5000 0.5000 0.1790  8 La 3.68-3.79, 4 Nd 3.70
2 La 0.5000 0.5000 0.8210  8 La 3.68-3.79, 4 Nd 3.70
3 La 0.0000 0.0000 0.3562  4 Hg 3.37, 4 La 3.68
4 Hg 0.5000 0.5000 0.5000  8 La 3.37
5 La 0.0000 0.0000 0.6438  4 Hg 3.37, 4 La 3.68
6 Nd 0.0000 0.0000 0.0000  8 La 3.70, 4 Nd 3.79

Theoretical density (g/cm3): 7.32
Polymorph energy (0 for the lowest one) (meV/atom): 0
Calculated formation energy (kJ per mole of atoms): -15.8
Space-group type: P4/mmm (123)



# 4
## LaNd2Hg3 (PBE-GGA)

Data for a geometry-optimized LaNd2Hg3 structure.

a b c (Å): 5.4425 8.6180 7.7693
angles (deg): 90.00 90.00 71.59
With the nearest neighbours (Å) after each atom.
Atoms (fractional coordinates):
1 Hg 0.5000 0.0000 0.7443  6 Nd 3.32-3.37, 2 La 3.37
2 Nd 0.6680 0.6640 0.5000  8 Hg 3.32-3.34
3 Nd 0.0000 0.0000 0.0000  8 Hg 3.35-3.37
4 Nd 0.0000 0.0000 0.5000  8 Hg 3.30-3.32
5 Hg 0.1649 0.6702 0.2558  5 Nd 3.30-3.35, 3 La 3.37-3.40
6 La 0.6664 0.6672 0.0000  8 Hg 3.37-3.40
7 La 0.3336 0.3328 0.0000  8 Hg 3.37-3.40
8 Hg 0.8351 0.3298 0.7442  5 Nd 3.30-3.35, 3 La 3.37-3.40
9 Hg 0.8351 0.3298 0.2558  5 Nd 3.30-3.35, 3 La 3.37-3.40
10 Nd 0.3320 0.3360 0.5000  8 Hg 3.32-3.34
11 Hg 0.1649 0.6702 0.7442  5 Nd 3.30-3.35, 3 La 3.37-3.40
12 Hg 0.5000 0.0000 0.2557  6 Nd 3.32-3.37, 2 La 3.37

Theoretical density (g/cm3): 9.89
Calculated formation energy (kJ per mole of atoms): -46.4
Space-group type: Cmmm (65)



- Which of these has the highest calculated formation energy?
  La6NdHg